--- i ---
Material: ZrReNF2
Method: DFT, PBE
State: relaxed

```
ZrReNF2
1.0
-2.481 2.169 -2.670
1.773 -2.014 -3.285
-3.000 -3.092 0.276
Zr F Re N
1 2 1 1
Cartesian
0.000 0.000 0.000 Zr
0.887 -1.007 -1.642 F
-1.241 1.085 -1.335 F
-1.854 -1.468 -2.839 Re
-1.500 -1.546 0.138 N
```

Computed properties:
D(E_F) = 2.13 states/eV/cell

--- ii ---
Material: ZrReNF2
Method: DFT, PBE
State: relaxed

```
ZrReNF2
1.0
4.237 0.000 0.000
0.000 4.237 0.000
0.000 0.000 3.874
F Zr N Re
2 1 1 1
Cartesian
2.118 0.000 0.000 F
0.000 2.118 0.000 F
2.118 2.118 1.937 Zr
0.000 0.000 1.937 N
0.000 0.000 0.000 Re
```

Computed properties:
D(E_F) = 3.52 states/eV/cell

Most stable to least stable, the ends of the list are i and ii.

--- i ---
Material: RhNF2
Method: DFT, PBE
State: relaxed

```
RhNF2
1.0
-2.874 7.569 0.973
-6.405 -1.827 -4.705
-5.564 2.332 -0.399
F N Rh
4 2 2
Cartesian
-8.068 6.483 -2.135 F
-6.405 4.258 -0.782 F
-7.134 8.244 0.225 F
-4.547 6.559 0.110 F
-4.640 2.871 -1.866 N
-8.304 1.688 -3.485 N
0.000 0.000 0.000 Rh
-6.539 6.386 -0.646 Rh
```

Computed properties:
D(E_F) = 4.12 states/eV/cell

--- ii ---
Material: RhNF2
Method: DFT, PBE
State: relaxed

```
RhNF2
1.0
1.540 0.000 7.314
-0.770 1.333 7.314
-0.770 -1.333 7.314
F N Rh
2 1 1
Cartesian
0.000 0.000 20.203 F
0.000 0.000 1.740 F
0.000 0.000 0.000 N
0.000 0.000 10.972 Rh
```

Computed properties:
D(E_F) = 3.73 states/eV/cell

Most stable to least stable, the ends of the list are i and ii.

--- i ---
Material: RhNF3
Method: DFT, PBE
State: relaxed

```
RhNF3
1.0
4.041 0.000 0.000
0.000 4.041 0.000
0.000 0.000 4.041
F Rh N
3 1 1
Cartesian
0.000 2.020 0.000 F
0.000 0.000 2.020 F
2.020 0.000 0.000 F
0.000 0.000 0.000 Rh
2.020 2.020 2.020 N
```

Computed properties:
D(E_F) = 17.25 states/eV/cell

--- ii ---
Material: RhNF3
Method: DFT, PBE
State: relaxed

```
RhNF3
1.0
3.875 0.000 0.000
0.000 3.875 0.000
0.000 0.000 3.875
F Rh N
3 1 1
Cartesian
1.938 0.000 0.000 F
0.000 0.000 1.938 F
0.000 1.938 0.000 F
1.938 1.938 1.938 Rh
0.000 0.000 0.000 N
```

Computed properties:
D(E_F) = 6.39 states/eV/cell

Most stable to least stable, the ends of the list are i and ii.

--- i ---
Material: RhN2F2
Method: DFT, PBE
State: relaxed

```
RhN2F2
1.0
3.836 0.000 0.000
0.000 3.836 0.000
0.000 0.000 4.044
N F Rh
2 2 1
Cartesian
1.918 0.000 0.000 N
0.000 1.918 0.000 N
1.918 1.918 2.022 F
0.000 0.000 2.022 F
0.000 0.000 0.000 Rh
```

Computed properties:
D(E_F) = 2.21 states/eV/cell

--- ii ---
Material: RhN2F2
Method: DFT, PBE
State: relaxed

```
RhN2F2
1.0
-2.400 1.996 1.666
-2.239 -0.433 -2.706
-1.605 -3.508 1.890
N Rh F
2 1 2
Cartesian
-1.200 0.998 0.833 N
-1.119 -0.217 -1.353 N
-3.122 -0.973 0.425 Rh
-0.802 -1.754 0.945 F
0.000 0.000 0.000 F
```

Computed properties:
D(E_F) = 4.41 states/eV/cell

--- iii ---
Material: RhN2F2
Method: DFT, PBE
State: relaxed

```
RhN2F2
1.0
-3.813 -1.987 -2.614
3.024 -0.564 -3.982
1.008 -3.613 1.277
Rh F N
2 4 4
Cartesian
0.000 0.000 0.000 Rh
-0.395 -1.275 -3.298 Rh
0.022 -3.697 -4.330 F
1.831 -2.685 -2.896 F
0.197 -2.467 -0.989 F
-1.612 -3.478 -2.423 F
-1.971 -1.203 -1.848 N
0.951 -0.399 -1.879 N
1.182 -1.348 -4.748 N
-1.740 -2.152 -4.717 N
```

Computed properties:
D(E_F) = 3.81 states/eV/cell

--- iv ---
Material: RhN2F2
Method: DFT, PBE
State: relaxed

```
RhN2F2
1.0
4.778 0.000 0.000
0.000 4.778 0.000
2.389 2.389 2.500
N F Rh
2 2 1
Cartesian
4.778 4.778 1.940 N
2.389 2.389 0.559 N
2.389 4.778 1.250 F
4.778 2.389 1.250 F
0.000 0.000 0.000 Rh
```

Computed properties:
D(E_F) = 0.36 states/eV/cell

Most stable to least stable, the ends of the list are iv and ii.

--- i ---
Material: RhS2NF
Method: DFT, PBE
State: relaxed

```
RhS2NF
1.0
-4.377 -0.872 -1.949
0.321 -4.664 1.366
-1.585 0.825 3.190
N S Rh F
1 2 1 1
Cartesian
-0.792 0.413 1.595 N
0.160 -2.332 0.683 S
-2.189 -0.436 -0.975 S
0.000 0.000 0.000 Rh
-2.821 -2.355 1.303 F
```

Computed properties:
D(E_F) = 2.38 states/eV/cell

--- ii ---
Material: RhS2NF
Method: DFT, PBE
State: relaxed

```
RhS2NF
1.0
4.389 0.000 0.000
0.000 4.389 0.000
0.000 0.000 3.649
Rh S F N
1 2 1 1
Cartesian
2.195 2.195 1.825 Rh
0.000 2.195 0.000 S
2.195 0.000 0.000 S
0.000 0.000 0.000 F
0.000 0.000 1.825 N
```

Computed properties:
D(E_F) = 3.09 states/eV/cell

Most stable to least stable, the ends of the list are i and ii.

--- i ---
Material: RhSN2F
Method: DFT, PBE
State: relaxed

```
RhSN2F
1.0
3.725 0.000 0.000
0.000 3.725 0.000
0.000 0.000 3.795
N F S Rh
2 1 1 1
Cartesian
0.000 1.862 0.000 N
1.862 0.000 0.000 N
0.000 0.000 1.897 F
0.000 0.000 0.000 S
1.862 1.862 1.897 Rh
```

Computed properties:
D(E_F) = 5.39 states/eV/cell

--- ii ---
Material: RhSN2F
Method: DFT, PBE
State: relaxed

```
RhSN2F
1.0
3.727 0.000 0.000
0.000 3.727 0.000
0.000 0.000 5.120
F Rh N S
1 1 2 1
Cartesian
1.863 1.863 2.560 F
0.000 0.000 0.000 Rh
0.000 1.863 0.000 N
1.863 0.000 0.000 N
0.000 0.000 2.560 S
```

Computed properties:
D(E_F) = 4.49 states/eV/cell

Most stable to least stable, the ends of the list are ii and i.

--- i ---
Material: RhSN2F
Method: DFT, PBE
State: relaxed

```
RhSN2F
1.0
3.909 0.000 0.000
0.000 3.909 0.000
0.000 0.000 3.997
N Rh F S
2 1 1 1
Cartesian
0.000 1.955 0.000 N
1.955 0.000 0.000 N
0.000 0.000 0.000 Rh
0.000 0.000 1.998 F
1.955 1.955 1.998 S
```

Computed properties:
D(E_F) = 3.32 states/eV/cell

--- ii ---
Material: RhSN2F
Method: DFT, PBE
State: relaxed

```
RhSN2F
1.0
-3.721 0.301 -0.295
-0.421 -2.615 2.648
0.008 2.949 2.914
F N Rh S
1 2 1 1
Cartesian
0.000 0.000 0.000 F
-1.861 0.151 -0.147 N
-0.211 -1.308 1.324 N
-2.067 0.317 2.633 Rh
0.004 1.474 1.457 S
```

Computed properties:
D(E_F) = 4.02 states/eV/cell

Most stable to least stable, the ends of the list are i and ii.

--- i ---
Material: ScRhNF2
Method: DFT, PBE
State: relaxed

```
ScRhNF2
1.0
-0.316 -0.399 -4.313
4.331 0.002 -0.318
0.027 -3.725 0.343
Sc F N Rh
1 2 1 1
Cartesian
2.021 -2.062 -2.144 Sc
-0.158 -0.200 -2.157 F
2.166 0.001 -0.159 F
0.013 -1.863 0.172 N
0.000 0.000 0.000 Rh
```

Computed properties:
D(E_F) = 3.60 states/eV/cell

--- ii ---
Material: ScRhNF2
Method: DFT, PBE
State: relaxed

```
ScRhNF2
1.0
3.918 0.000 0.000
0.000 3.918 0.000
0.000 0.000 4.510
Rh F Sc N
1 2 1 1
Cartesian
1.959 1.959 2.255 Rh
1.959 0.000 0.000 F
0.000 1.959 0.000 F
0.000 0.000 0.000 Sc
0.000 0.000 2.255 N
```

Computed properties:
D(E_F) = 4.69 states/eV/cell

Most stable to least stable, the ends of the list are ii and i.